<w>
Na2PbO | GGA-PBE | relaxed

The space group is Fm-3m (No. 225) and the conventional cell measures 6.982, 6.982 and 6.982 Å, with angles of 90.00, 90.00 and 90.00 degrees. The distinct sites, in fractional coordinates, are Na at (0.250, 0.250, 0.250), Pb at (0.000, 0.000, 0.000) and O at (0.000, 0.000, 0.500).

The density of states at the Fermi level is 0.6990 states/eV/atom. The calculation puts the total magnetization at 0.0 μB/cell.

<x>
Na2PbO | GGA-PBE | relaxed

The space group is I-42d (No. 122) and the conventional cell measures 8.049, 8.049 and 5.304 Å, with angles of 90.00, 90.00 and 90.00 degrees. The distinct sites, in fractional coordinates, are Na at (0.123, 0.250, 0.125), Pb at (0.000, 0.000, 0.500) and O at (0.000, 0.000, 0.000).

The density of states at the Fermi level is 0.1586 states/eV/atom. The calculation puts the total magnetization at 0.0 μB/cell.

Relative energies, in kJ/mol of atoms, with the most stable structure set to zero: <w> 54.7; <x> 0.0.

<w>
Na3PbO | GGA-PBE | relaxed

The space group is Pmn2_1 (No. 31) and the conventional cell measures 6.749, 6.160 and 5.665 Å, with angles of 90.00, 90.00 and 90.00 degrees. The distinct sites, in fractional coordinates, are Na at (0.000, 0.180, 0.000), Na at (0.243, 0.647, 0.062), Pb at (0.000, 0.826, 0.571) and O at (0.000, 0.510, 0.797).

The density of states at the Fermi level is 0.4423 states/eV/atom. The calculation puts the total magnetization at 0.0 μB/cell.

<x>
Na3PbO | GGA-PBE | relaxed

The space group is Pm-3m (No. 221) and the conventional cell measures 4.769, 4.769 and 4.769 Å, with angles of 90.00, 90.00 and 90.00 degrees. The distinct sites, in fractional coordinates, are Na at (0.000, 0.000, 0.500), Pb at (0.500, 0.500, 0.500) and O at (0.000, 0.000, 0.000).

The density of states at the Fermi level is 0.5465 states/eV/atom. The calculation puts the total magnetization at 0.0 μB/cell.

Relative energies, in kJ/mol of atoms, with the most stable structure set to zero: <w> 0.0; <x> 7.1.

<w>
Na5PbO4 | GGA-PBE | relaxed

The space group is Immm (No. 71) and the conventional cell measures 3.654, 6.436 and 13.177 Å, with angles of 90.00, 90.00 and 90.00 degrees. The distinct sites, in fractional coordinates, are Na at (0.000, 0.000, 0.000), Na at (0.000, 0.228, 0.327), Pb at (0.000, 0.500, 0.000), O at (0.000, 0.245, 0.500) and O at (0.000, 0.500, 0.192).

The density of states at the Fermi level is 0.2139 states/eV/atom. The calculation puts the total magnetization at 0.0 μB/cell.

<x>
Na5PbO4 | GGA-PBE | relaxed

The space group is Pmmn (No. 59, origin choice 2) and the conventional cell measures 7.498, 8.032 and 5.610 Å, with angles of 90.00, 90.00 and 90.00 degrees. The distinct sites, in fractional coordinates, are Na at (0.009, 0.058, 0.247), Na at (0.250, 0.750, 0.293), Pb at (0.250, 0.250, 0.712), O at (0.009, 0.250, 0.935) and O at (0.250, 0.005, 0.513).

The density of states at the Fermi level is 0.3102 states/eV/atom. The calculation puts the total magnetization at 0.8 μB/cell.

Relative energies, in kJ/mol of atoms, with the most stable structure set to zero: <w> 5.0; <x> 0.0.

<w>
Na2PbSeO | GGA-PBE | relaxed

The space group is Cmcm (No. 63) and the conventional cell measures 4.041, 14.940 and 7.421 Å, with angles of 90.00, 90.00 and 90.00 degrees. The distinct sites, in fractional coordinates, are Na at (0.000, 0.153, 0.003), Pb at (0.000, 0.494, 0.250), Se at (0.000, 0.305, 0.250) and O at (0.000, 0.000, 0.000).

The calculation puts the total magnetization at 0.0 μB/cell.

<x>
Na2PbSeO | GGA-PBE | relaxed

The space group is P4/mmm (No. 123) and the conventional cell measures 4.585, 4.585 and 4.988 Å, with angles of 90.00, 90.00 and 90.00 degrees. The distinct sites, in fractional coordinates, are Na at (0.000, 0.500, 0.000), Pb at (0.000, 0.000, 0.500), Se at (0.500, 0.500, 0.500) and O at (0.000, 0.000, 0.000).

The density of states at the Fermi level is 0.0229 states/eV/atom. The calculation puts the total magnetization at 0.0 μB/cell.

Relative energies, in kJ/mol of atoms, with the most stable structure set to zero: <w> 8.2; <x> 0.0.

<w>
Na2PdO6 | GGA-PBE | relaxed

The space group is C2/m (No. 12) and the conventional cell measures 6.594, 10.133 and 3.753 Å, with angles of 90.00, 110.66 and 90.00 degrees. The distinct sites, in fractional coordinates, are Na at (0.000, 0.142, 0.000), Pd at (0.000, 0.500, 0.000), O at (0.065, 0.344, 0.688) and O at (0.199, 0.000, 0.700).

The density of states at the Fermi level is 0.3172 states/eV/atom. The calculation puts the total magnetization at 4.1 μB/cell.

<x>
Na2PdO6 | GGA-PBE | relaxed

The space group is P-31m (No. 162) and the conventional cell measures 5.9988, 5.9988 and 3.7012 Å, with angles of 90.00, 90.00 and 120.00 degrees. The distinct sites, in fractional coordinates, are Na at (0.3333, 0.6667, 0.0000), Pd at (0.0000, 0.0000, 0.0000) and O at (0.0000, 0.2733, 0.3037).

The density of states at the Fermi level is 0.2006 states/eV/atom. The calculation puts the total magnetization at 6.0 μB/cell.

Relative energies, in kJ/mol of atoms, with the most stable structure set to zero: <w> 0.0; <x> 39.6.

<w>
Na3Pd2O4 | GGA-PBE | relaxed

The space group is C2/m (No. 12) and the conventional cell measures 10.883, 3.979 and 7.456 Å, with angles of 90.00, 124.80 and 90.00 degrees. The distinct sites, in fractional coordinates, are Na at (0.000, 0.000, 0.000), Na at (0.173, 0.000, 0.784), Pd at (0.115, 0.500, 0.369), O at (0.096, 0.500, 0.872) and O at (0.153, 0.000, 0.403).

The density of states at the Fermi level is 0.7277 states/eV/atom. The calculation puts the total magnetization at 1.6 μB/cell.

<x>
Na3Pd2O4 | GGA-PBE | relaxed

The space group is C2/c (No. 15) and the conventional cell measures 8.229, 11.251 and 5.803 Å, with angles of 90.00, 105.74 and 90.00 degrees. The distinct sites, in fractional coordinates, are Na at (0.000, 0.082, 0.250), Na at (0.100, 0.336, 0.500), Pd at (0.234, 0.116, 0.945), O at (0.196, 0.232, 0.193) and O at (0.223, 0.036, 0.624).

The density of states at the Fermi level is 0.4506 states/eV/atom. The calculation puts the total magnetization at 4.2 μB/cell.

Relative energies, in kJ/mol of atoms, with the most stable structure set to zero: <w> 3.2; <x> 0.0.